Entry 1:
# AgRhBr2

A geometry-optimized AgRhBr2 structure (PBE, Alexandria via LeMat-Bulk).

Output
total energy	-12.6	eV/f.u.
density	6.6	g/cm3
formation energy (no corrections)	89.0	kJ/mol of formula units
E above lowest polymorph	0.310	eV/atom
DOS at the Fermi energy	2.3	states/eV/f.u.

CIF file:
```
data_AgRhBr2
_symmetry_space_group_name_H-M 'C m m m'
_symmetry_Int_Tables_number 65
_symmetry_space_group_name_Hall '-C 2 2'
_cell_length_a 3.5828
_cell_length_b 6.5392
_cell_length_c 7.9686
_cell_angle_alpha 90.00
_cell_angle_beta 90.00
_cell_angle_gamma 90.00
loop_
_atom_site_label
_atom_site_fract_x
_atom_site_fract_y
_atom_site_fract_z
Ag1 0.0000 0.0000 0.0000
Rh1 0.0000 0.0000 0.5000
Br1 0.0000 0.5000 0.2761
```

***

Entry 2:
# Pr6NiRh2Br3

A geometry-optimized Pr6NiRh2Br3 structure (PBE, Alexandria via LeMat-Bulk).

Output
total energy	-65.9	eV/f.u.
density	6.4	g/cm3
formation energy (no corrections)	-1132.8	kJ/mol of formula units
DOS at the Fermi energy	6.3	states/eV/f.u.

CIF file:
```
data_Pr6NiRh2Br3
_symmetry_space_group_name_H-M 'C 1 2/m 1'
_symmetry_Int_Tables_number 12
_symmetry_space_group_name_Hall '-C 2y'
_cell_length_a 7.1783
_cell_length_b 12.4331
_cell_length_c 8.2276
_cell_angle_alpha 90.00
_cell_angle_beta 106.92
_cell_angle_gamma 90.00
loop_
_atom_site_label
_atom_site_fract_x
_atom_site_fract_y
_atom_site_fract_z
Pr1 0.2303 0.1653 0.1953
Pr2 0.2347 0.5000 0.1954
Ni1 0.0000 0.0000 0.0000
Rh1 0.0000 0.3333 0.0000
Br1 0.0000 0.1663 0.5000
Br2 0.0000 0.5000 0.5000
```

***

Entry 3:
# Ho5Cu2Au

A geometry-optimized Ho5Cu2Au structure (PBE, Alexandria via LeMat-Bulk).

Output
total energy	-37.1	eV/f.u.
density	9.8	g/cm3
ΔE_f	-0.3385	eV/atom
DOS at the Fermi energy	11.6	states/eV/f.u.

CIF file:
```
data_Ho5Cu2Au
_symmetry_space_group_name_H-M 'I 4/m c m'
_symmetry_Int_Tables_number 140
_symmetry_space_group_name_Hall '-I 4 2c'
_cell_length_a 7.1211
_cell_length_b 7.1211
_cell_length_c 15.2790
_cell_angle_alpha 90.00
_cell_angle_beta 90.00
_cell_angle_gamma 90.00
loop_
_atom_site_label
_atom_site_fract_x
_atom_site_fract_y
_atom_site_fract_z
Ho1 0.0000 0.0000 0.0000
Ho2 0.1699 0.3301 0.1474
Cu1 0.1242 0.3758 0.5000
Au1 0.0000 0.0000 0.2500
```

***

Entry 4:
# LiPu4Se5

A geometry-optimized LiPu4Se5 structure (PBE, Alexandria via LeMat-Bulk).

Output
total energy	-91.4	eV/f.u.
density	9.1	g/cm3
formation energy (no corrections)	-1421.9	kJ/mol of formula units
DOS at the Fermi energy	36.9	states/eV/f.u.

CIF file:
```
data_LiPu4Se5
_symmetry_space_group_name_H-M 'I 4/m m m'
_symmetry_Int_Tables_number 139
_symmetry_space_group_name_Hall '-I 4 2'
_cell_length_a 4.1402
_cell_length_b 4.1402
_cell_length_c 29.2125
_cell_angle_alpha 90.00
_cell_angle_beta 90.00
_cell_angle_gamma 90.00
loop_
_atom_site_label
_atom_site_fract_x
_atom_site_fract_y
_atom_site_fract_z
Li1 0.0000 0.0000 0.0000
Pu1 0.0000 0.0000 0.1996
Pu2 0.0000 0.0000 0.4042
Se1 0.0000 0.0000 0.0993
Se2 0.0000 0.0000 0.3010
Se3 0.0000 0.0000 0.5000
```

***

Entry 5:
# RbHfBr2

A geometry-optimized RbHfBr2 structure (PBE, Alexandria via LeMat-Bulk).

Output
total energy	-15.6	eV/f.u.
density	4.3	g/cm3
formation energy (no corrections)	-127.6	kJ/mol of formula units
E above lowest polymorph	0.243	eV/atom
DOS at the Fermi energy	4.8	states/eV/f.u.

CIF file:
```
data_RbHfBr2
_symmetry_space_group_name_H-M 'I -4 2 d'
_symmetry_Int_Tables_number 122
_symmetry_space_group_name_Hall 'I -4 2bw'
_cell_length_a 6.2952
_cell_length_b 6.2952
_cell_length_c 16.3600
_cell_angle_alpha 90.00
_cell_angle_beta 90.00
_cell_angle_gamma 90.00
loop_
_atom_site_label
_atom_site_fract_x
_atom_site_fract_y
_atom_site_fract_z
Rb1 0.0000 0.0000 0.0000
Hf1 0.0000 0.0000 0.5000
Br1 0.1291 0.2500 0.6250
```

***

Entry 6:
# CaPuRuRh

A geometry-optimized CaPuRuRh structure (PBE, Alexandria via LeMat-Bulk).

Output
total energy	-33.7	eV/f.u.
density	10.5	g/cm3
ΔE_f	-0.1812	eV/atom
DOS at the Fermi energy	4.4	states/eV/f.u.

CIF file:
```
data_CaPuRuRh
_symmetry_space_group_name_H-M 'F -4 3 m'
_symmetry_Int_Tables_number 216
_symmetry_space_group_name_Hall 'F -4 2 3'
_cell_length_a 6.7638
_cell_length_b 6.7638
_cell_length_c 6.7638
_cell_angle_alpha 90.00
_cell_angle_beta 90.00
_cell_angle_gamma 90.00
loop_
_atom_site_label
_atom_site_fract_x
_atom_site_fract_y
_atom_site_fract_z
Ca1 0.0000 0.0000 0.0000
Pu1 0.0000 0.0000 0.5000
Ru1 0.2500 0.2500 0.2500
Rh1 0.2500 0.2500 0.7500
```

***

Entry 7:
# Tb2MgAu4

A geometry-optimized Tb2MgAu4 structure (PBE, Alexandria via LeMat-Bulk).

Output
total energy	-28.6	eV/f.u.
density	11.4	g/cm3
ΔE_f	-0.6625	eV/atom
DOS at the Fermi energy	4.9	states/eV/f.u.

CIF file:
```
data_Tb2MgAu4
_symmetry_space_group_name_H-M 'R -3 m'
_symmetry_Int_Tables_number 166
_symmetry_space_group_name_Hall '-R 3 2"'
_cell_length_a 4.6771
_cell_length_b 4.6771
_cell_length_c 26.0932
_cell_angle_alpha 90.00
_cell_angle_beta 90.00
_cell_angle_gamma 120.00
loop_
_atom_site_label
_atom_site_fract_x
_atom_site_fract_y
_atom_site_fract_z
Tb1 0.0000 0.0000 0.2476
Mg1 0.0000 0.0000 0.0000
Au1 0.0000 0.0000 0.1333
Au2 0.0000 0.0000 0.3623
```

***

Entry 8:
# Bi2PtSe

A geometry-optimized Bi2PtSe structure (PBE, Alexandria via LeMat-Bulk).

Output
total energy	-18.3	eV/f.u.
density	11.1	g/cm3
formation energy (no corrections)	-95.0	kJ/mol of formula units
DOS at the Fermi energy	1.8	states/eV/f.u.

CIF file:
```
data_Bi2PtSe
_symmetry_space_group_name_H-M 'R -3 m'
_symmetry_Int_Tables_number 166
_symmetry_space_group_name_Hall '-R 3 2"'
_cell_length_a 4.0535
_cell_length_b 4.0535
_cell_length_c 21.8550
_cell_angle_alpha 90.00
_cell_angle_beta 90.00
_cell_angle_gamma 120.00
loop_
_atom_site_label
_atom_site_fract_x
_atom_site_fract_y
_atom_site_fract_z
Bi1 0.0000 0.0000 0.2405
Pt1 0.0000 0.0000 0.5000
Se1 0.0000 0.0000 0.0000
```

***

Entry 9:
# Mg2In2Ag3

A geometry-optimized Mg2In2Ag3 structure (PBE, Alexandria via LeMat-Bulk).

Output
total energy	-17.3	eV/f.u.
density	6.5	g/cm3
ΔE_f	-0.0157	eV/atom
DOS at the Fermi energy	2.9	states/eV/f.u.

CIF file:
```
data_Mg2In2Ag3
_symmetry_space_group_name_H-M 'I 21 3'
_symmetry_Int_Tables_number 199
_symmetry_space_group_name_Hall 'I 2b 2c 3'
_cell_length_a 8.5013
_cell_length_b 8.5013
_cell_length_c 8.5013
_cell_angle_alpha 90.00
_cell_angle_beta 90.00
_cell_angle_gamma 90.00
loop_
_atom_site_label
_atom_site_fract_x
_atom_site_fract_y
_atom_site_fract_z
Mg1 0.2343 0.2343 0.2343
In1 0.0728 0.4272 0.5728
Ag1 0.0000 0.2500 0.9979
```

***

Entry 10:
# Sm7PdI12

A geometry-optimized Sm7PdI12 structure (PBE, Alexandria via LeMat-Bulk).

Output
total energy	-81.6	eV/f.u.
density	5.6	g/cm3
formation energy (no corrections)	-2388.1	kJ/mol of formula units
DOS at the Fermi energy	6.6	states/eV/f.u.

CIF file:
```
data_Sm7PdI12
_symmetry_space_group_name_H-M 'R -3'
_symmetry_Int_Tables_number 148
_symmetry_space_group_name_Hall '-R 3'
_cell_length_a 16.0033
_cell_length_b 16.0033
_cell_length_c 10.8490
_cell_angle_alpha 90.00
_cell_angle_beta 90.00
_cell_angle_gamma 120.00
loop_
_atom_site_label
_atom_site_fract_x
_atom_site_fract_y
_atom_site_fract_z
Sm1 0.0000 0.0000 0.0000
Sm2 0.0439 0.1605 0.3513
Pd1 0.0000 0.0000 0.5000
I1 0.0206 0.5856 0.1608
I2 0.0506 0.1826 0.8403
```

***

Entry 11:
# NdY2Tm

A geometry-optimized NdY2Tm structure (PBE, Alexandria via LeMat-Bulk).

Output
total energy	-22.1	eV/f.u.
density	6.3	g/cm3
E above lowest polymorph	0.016	eV/atom
ΔE_f	0.0256	eV/atom
DOS at the Fermi energy	6.1	states/eV/f.u.

CIF file:
```
data_NdY2Tm
_symmetry_space_group_name_H-M 'P 4/m m m'
_symmetry_Int_Tables_number 123
_symmetry_space_group_name_Hall '-P 4 2'
_cell_length_a 5.0530
_cell_length_b 5.0530
_cell_length_c 5.0769
_cell_angle_alpha 90.00
_cell_angle_beta 90.00
_cell_angle_gamma 90.00
loop_
_atom_site_label
_atom_site_fract_x
_atom_site_fract_y
_atom_site_fract_z
Nd1 0.0000 0.0000 0.0000
Y1 0.0000 0.5000 0.5000
Tm1 0.5000 0.5000 0.0000
```

***

Entry 12:
# BIrRu

A geometry-optimized BIrRu structure (PBE, Alexandria via LeMat-Bulk).

Output
total energy	-24.1	eV/f.u.
density	13.9	g/cm3
ΔE_f	0.2469	eV/atom
DOS at the Fermi energy	3.1	states/eV/f.u.

CIF file:
```
data_BIrRu
_symmetry_space_group_name_H-M 'P -6 m 2'
_symmetry_Int_Tables_number 187
_symmetry_space_group_name_Hall 'P -6 2'
_cell_length_a 3.8633
_cell_length_b 3.8633
_cell_length_c 2.8096
_cell_angle_alpha 90.00
_cell_angle_beta 90.00
_cell_angle_gamma 120.00
loop_
_atom_site_label
_atom_site_fract_x
_atom_site_fract_y
_atom_site_fract_z
B1 0.0000 0.0000 0.0000
Ir1 0.3333 0.6667 0.0000
Ru1 0.6667 0.3333 0.5000
```